The following is a DFT calculation (PBE) of TbCeC after structural relaxation.

Properties
Crystal system ... hexagonal
Space-group type ... P6_3mc
Spin magnetization ... 0.3002 μB per atom
Relative energy among the computed polymorphs ... 0.026 eV per formula unit

Cell lengths 3.556, 3.556, 12.837 Å; angles 90.00, 90.00, 120.00 degrees
Each line ends with the local moment (μB).
Positions (direct):
C (0.333, 0.667, 0.630)  -0.02
C (0.667, 0.333, 0.130)  -0.02
Tb (0.000, 0.000, 0.022)  0.07
Tb (0.000, 0.000, 0.522)  0.07
Ce (0.333, 0.667, 0.239)  0.61
Ce (0.667, 0.333, 0.739)  0.61